Below is a relaxed structure of LiPr2I6, with properties calculated at the PBE-GGA level.

Properties
The crystal system is tetragonal. Its symmetry is P4_2/mnm, No. 136. The energy relative to the elements, uncorrected is -1.277 eV/atom.

a b c (Å): 7.5391 7.5391 13.3414
angles (deg): 90.00 90.00 90.00
With the nearest neighbours (Å) after each atom.
Sites, in units of the cell vectors:
Li (0.0000, 0.0000, 0.0000)  6 I 2.95-3.04
Li (0.5000, 0.5000, 0.5000)  6 I 2.95-3.04
Pr (0.0000, 0.0000, 0.3478)  6 I 3.13-3.25
Pr (0.0000, 0.0000, 0.6522)  6 I 3.13-3.25
Pr (0.5000, 0.5000, 0.1522)  6 I 3.13-3.25
Pr (0.5000, 0.5000, 0.8478)  6 I 3.13-3.25
I (0.1983, 0.1983, 0.1633)  1 Li 3.04, 2 Pr 3.22-3.25
I (0.1983, 0.1983, 0.8367)  1 Li 3.04, 2 Pr 3.22-3.25
I (0.2234, 0.2234, 0.5000)  1 Li 2.95, 2 Pr 3.13
I (0.2766, 0.7234, 0.0000)  1 Li 2.95, 2 Pr 3.13
I (0.3017, 0.6983, 0.3367)  1 Li 3.04, 2 Pr 3.22-3.25
I (0.3017, 0.6983, 0.6633)  1 Li 3.04, 2 Pr 3.22-3.25
I (0.6983, 0.3017, 0.3367)  1 Li 3.04, 2 Pr 3.22-3.25
I (0.6983, 0.3017, 0.6633)  1 Li 3.04, 2 Pr 3.22-3.25
I (0.7234, 0.2766, 0.0000)  1 Li 2.95, 2 Pr 3.13
I (0.7766, 0.7766, 0.5000)  1 Li 2.95, 2 Pr 3.13
I (0.8017, 0.8017, 0.1633)  1 Li 3.04, 2 Pr 3.22-3.25
I (0.8017, 0.8017, 0.8367)  1 Li 3.04, 2 Pr 3.22-3.25

***

Below is a relaxed structure of MnAl6Zn, with properties calculated at the PBE-GGA level.

Properties
The crystal system is monoclinic. Its symmetry is C2/m, No. 12. As for the formation energy: 0.64 eV per formula unit.

a b c (Å): 6.9908 6.9908 4.1963
angles (deg): 107.34 107.34 120.40
With the nearest neighbours (Å) after each atom.
Sites, in units of the cell vectors:
Mn (0.0000, 0.0000, 0.0000)  8 Al 2.45-2.54
Al (0.0585, 0.4164, 0.2373)  1 Mn 2.54, 1 Zn 2.62, 3 Al 2.64-2.72
Al (0.2304, 0.2304, 0.7300)  2 Mn 2.45-2.46, 1 Al 2.56, 2 Zn 2.57-2.59
Al (0.4164, 0.0585, 0.2373)  1 Mn 2.54, 1 Zn 2.62, 3 Al 2.64-2.72
Al (0.5836, 0.9415, 0.7627)  1 Mn 2.54, 1 Zn 2.62, 3 Al 2.64-2.72
Al (0.7696, 0.7696, 0.2700)  2 Mn 2.45-2.46, 1 Al 2.56, 2 Zn 2.57-2.59
Al (0.9415, 0.5836, 0.7627)  1 Mn 2.54, 1 Zn 2.62, 3 Al 2.64-2.72
Zn (0.5000, 0.5000, 0.5000)  8 Al 2.57-2.62, 2 Mn 2.78

***

Below is a relaxed structure of HfZr5Zn, with properties calculated at the PBE-GGA level.

Properties
The crystal system is monoclinic. Its symmetry is C2/c, No. 15. As for the formation energy: 0.95 eV per formula unit.

a b c (Å): 7.1351 7.1351 10.6391
angles (deg): 124.10 124.10 47.42
With the nearest neighbours (Å) after each atom.
Sites, in units of the cell vectors:
Hf (0.2410, 0.7590, 0.7500)  4 Zr 2.78-3.08, 2 Zn 3.05
Hf (0.7590, 0.2410, 0.2500)  4 Zr 2.78-3.08, 2 Zn 3.05
Zr (0.1629, 0.1630, 0.1179)  2 Zr 2.86-2.88
Zr (0.1630, 0.1629, 0.6179)  2 Zr 2.86-2.88
Zr (0.2434, 0.7566, 0.2500)  2 Hf 2.78-2.96, 2 Zn 3.04, 2 Zr 3.10
Zr (0.2656, 0.2688, 0.4476)  1 Zn 2.74, 2 Zr 2.86-2.88
Zr (0.2688, 0.2656, 0.9476)  1 Zn 2.74, 2 Zr 2.86-2.88
Zr (0.7312, 0.7344, 0.0524)  1 Zn 2.74, 2 Zr 2.86-2.88
Zr (0.7344, 0.7312, 0.5524)  1 Zn 2.74, 2 Zr 2.86-2.88
Zr (0.7566, 0.2434, 0.7500)  2 Hf 2.78-2.96, 2 Zn 3.04, 2 Zr 3.10
Zr (0.8370, 0.8371, 0.3821)  2 Zr 2.86-2.88
Zr (0.8371, 0.8370, 0.8821)  2 Zr 2.86-2.88
Zn (0.5000, 0.5000, 0.0000)  4 Zr 2.74-3.04, 2 Hf 3.05
Zn (0.5000, 0.5000, 0.5000)  4 Zr 2.74-3.04, 2 Hf 3.05

***

Below is a relaxed structure of BaHfS2, with properties calculated at the PBE-GGA level.

Properties
The crystal system is cubic. Its symmetry is Fm-3m, No. 225. The energy relative to the elements, uncorrected is -0.885 eV/atom.

a b c (Å): 4.9941 4.9941 4.9941
angles (deg): 60.00 60.00 60.00
With the nearest neighbours (Å) after each atom.
Sites, in units of the cell vectors:
Ba (0.0000, 0.0000, 0.0000)  8 S 3.06
Hf (0.5000, 0.5000, 0.5000)  8 S 3.06
S (0.2500, 0.2500, 0.2500)  4 Ba 3.06, 4 Hf 3.06
S (0.7500, 0.7500, 0.7500)  4 Ba 3.06, 4 Hf 3.06

***

Below is a relaxed structure of MgAs, with properties calculated at the PBE-GGA level.

Properties
The crystal system is hexagonal. Its symmetry is P6_3/mmc, No. 194. As for the formation energy: -0.84 eV per formula unit.

a b c (Å): 4.1548 4.1548 5.7407
angles (deg): 90.00 90.00 120.00
With the nearest neighbours (Å) after each atom.
Sites, in units of the cell vectors:
Mg (0.3333, 0.6667, 0.2500)  6 As 2.80
Mg (0.6667, 0.3333, 0.7500)  6 As 2.80
As (0.0000, 0.0000, 0.0000)  6 Mg 2.80, 2 As 2.87
As (0.0000, 0.0000, 0.5000)  6 Mg 2.80, 2 As 2.87

***

Below is a relaxed structure of TbThAs2, with properties calculated at the PBE-GGA level.

Properties
The crystal system is trigonal. Its symmetry is R3m, No. 160. As for the formation energy: -5.29 eV per formula unit.

a b c (Å): 7.5545 7.5545 7.5545
angles (deg): 31.90 31.90 31.90
With the nearest neighbours (Å) after each atom.
Sites, in units of the cell vectors:
Tb (0.0000, 0.0000, 0.0000)  6 As 2.93-3.04
Th (0.1739, 0.1739, 0.1739)  6 As 2.97-3.04
As (0.5886, 0.5886, 0.5886)  3 Tb 2.93, 3 Th 2.97
As (0.7537, 0.7537, 0.7537)  3 Th 3.04, 3 Tb 3.04

***

Below is a relaxed structure of TbPrHg4, with properties calculated at the PBE-GGA level.

Properties
The crystal system is orthorhombic. Its symmetry is Pmmm, No. 47. As for the formation energy: -1.66 eV per formula unit.

a b c (Å): 3.8099 5.5757 8.1087
angles (deg): 90.00 90.00 90.00
With the nearest neighbours (Å) after each atom.
Sites, in units of the cell vectors:
Tb (0.0000, 0.0000, 0.0000)  8 Hg 3.13-3.16
Pr (0.5000, 0.5000, 0.5000)  8 Hg 3.20
Hg (0.0000, 0.5000, 0.1826)  1 Hg 2.96, 2 Tb 3.16, 2 Pr 3.20
Hg (0.0000, 0.5000, 0.8174)  1 Hg 2.96, 2 Tb 3.16, 2 Pr 3.20
Hg (0.5000, 0.0000, 0.3060)  2 Tb 3.13, 1 Hg 3.15, 2 Pr 3.20
Hg (0.5000, 0.0000, 0.6940)  2 Tb 3.13, 1 Hg 3.15, 2 Pr 3.20

***

Below is a relaxed structure of Pt2NCl2, with properties calculated at the PBE-GGA level.

Properties
The crystal system is tetragonal. Its symmetry is I4/mmm, No. 139. The energy relative to the elements, uncorrected is 1.745 eV/atom.

a b c (Å): 7.4130 7.4130 7.4130
angles (deg): 151.29 151.29 41.05
With the nearest neighbours (Å) after each atom.
Sites, in units of the cell vectors:
Pt (0.2500, 0.7500, 0.5000)  4 Pt 2.60, 4 Cl 2.71
Pt (0.7500, 0.2500, 0.5000)  4 Pt 2.60, 4 Cl 2.71
N (0.0000, 0.0000, 0.0000)  8 Cl 2.99
Cl (0.3933, 0.3933, 0.0000)  4 Pt 2.71, 1 Cl 2.96, 4 N 2.99
Cl (0.6067, 0.6067, 0.0000)  4 Pt 2.71, 1 Cl 2.96, 4 N 2.99

***

no.,calculated total energy (eV per atom)
1,-3.585
2,-4.032
3,-7.574
4,-5.918
5,-3.540
6,-6.659
7,-2.046
8,-3.075